VASP calculation (PBE-GGA) on UMnH3 after structural relaxation.

a = 4.9969 Å, b = 3.5950 Å, c = 5.3676 Å
α = 90.00°, β = 103.98°, γ = 90.00°
Last column: nearest neighbours and their distance in Å.
Space group Pm (No. 6)
One atom of each set of equivalent atoms:
U 0.0000 0.0000 0.0000 [1 per cell]  3 H 2.11-2.35
U 0.3966 0.0000 0.5707 [1 per cell]  1 H 2.10, 1 Mn 2.10
Mn 0.4613 0.5000 0.0127 [1 per cell]  6 H 1.66-1.80
Mn 0.7059 0.0000 0.3663 [1 per cell]  1 H 1.65
H 0.1793 0.5000 0.7739 [1 per cell]  1 Mn 1.66
H 0.2477 0.5000 0.2285 [1 per cell]  1 Mn 1.76
H 0.4858 0.0000 0.0233 [1 per cell]  3 Mn 1.80-1.90
H 0.6711 0.5000 0.8070 [1 per cell]  1 Mn 1.70
H 0.7645 0.5000 0.2505 [1 per cell]  1 Mn 1.73
H 0.9867 0.0000 0.6035 [1 per cell]  1 Mn 1.65

Calculated values
- Polymorph energy (0 for the lowest one): 84 meV per atom


VASP calculation (PBE-GGA) on UMn3H after structural relaxation.

a = 3.8095 Å, b = 3.8095 Å, c = 3.8095 Å
α = 90.00°, β = 90.00°, γ = 90.00°
Last column: nearest neighbours and their distance in Å.
Space group Pm-3m (No. 221)
One atom of each set of equivalent atoms:
U 0.0000 0.0000 0.0000 [1 per cell]  12 Mn 2.69
Mn 0.0000 0.5000 0.5000 [3 per cell]  2 H 1.90
H 0.5000 0.5000 0.5000 [1 per cell]  6 Mn 1.90

Calculated values
- VASP energy: -8.37 eV/atom


VASP calculation (PBE-GGA) on UMnH after structural relaxation.

a = 3.0913 Å, b = 3.0913 Å, c = 4.3720 Å
α = 90.00°, β = 90.00°, γ = 120.00°
Last column: nearest neighbours and their distance in Å.
Space group P3m1 (No. 156)
One atom of each set of equivalent atoms:
U 0.0000 0.0000 0.0000 [1 per cell]  3 H 2.44
Mn 0.3333 0.6667 0.5117 [1 per cell]  3 H 1.87
H 0.6667 0.3333 0.3818 [1 per cell]  3 Mn 1.87

Calculated values
- Polymorph energy (0 for the lowest one): 73 meV per atom


VASP calculation (PBE-GGA) on UMnH after structural relaxation.

a = 2.7707 Å, b = 2.7707 Å, c = 8.8383 Å
α = 90.00°, β = 90.00°, γ = 90.00°
Last column: nearest neighbours and their distance in Å.
Space group I4mm (No. 107)
One atom of each set of equivalent atoms:
U 0.0000 0.0000 0.0000 [2 per cell]  1 Mn 2.17, 1 H 2.23
Mn 0.0000 0.0000 0.2453 [2 per cell]  4 H 1.96, 1 U 2.17
H 0.0000 0.0000 0.7475 [2 per cell]  4 Mn 1.96

Calculated values
- Polymorph energy (0 for the lowest one): 28 meV per atom


VASP calculation (PBE-GGA) on UMn2H9 after structural relaxation.

a = 7.7889 Å, b = 7.7889 Å, c = 4.6923 Å
α = 90.00°, β = 90.00°, γ = 90.00°
Last column: nearest neighbours and their distance in Å.
Space group I4_1/amd (No. 141, origin choice 2)
One atom of each set of equivalent atoms:
U 0.0000 0.2500 0.3750 [4 per cell]  18 H 2.33-2.56
Mn 0.0000 0.0000 0.0000 [8 per cell]  8 H 1.77-1.86
H 0.0000 0.2500 0.8750 [4 per cell]  8 H 1.99, 4 Mn 2.03
H 0.1197 0.0536 0.6911 [32 per cell]  2 Mn 1.77-1.86, 5 H 1.86-1.98

Calculated values
- VASP energy: -4.83 eV/atom


VASP calculation (PBE-GGA) on UMnH after structural relaxation.

a = 4.4901 Å, b = 4.9418 Å, c = 6.7143 Å
α = 90.00°, β = 98.40°, γ = 90.00°
Last column: nearest neighbours and their distance in Å.
Space group C2/m (No. 12)
One atom of each set of equivalent atoms:
U 0.1839 0.0000 0.1679 [4 per cell]  3 H 2.20-2.30
Mn 0.2500 0.2500 0.5000 [4 per cell]  4 Mn 2.25-2.47
H 0.1864 0.5000 0.1355 [4 per cell]  3 U 2.20-2.30, 1 H 2.29

Calculated values
- Polymorph energy (0 for the lowest one): 0 meV per atom


VASP calculation (PBE-GGA) on UMnH2 after structural relaxation.

a = 2.8883 Å, b = 2.8883 Å, c = 16.3866 Å
α = 90.00°, β = 90.00°, γ = 120.00°
Last column: nearest neighbours and their distance in Å.
Space group R-3m (No. 166, hexagonal axes)
One atom of each set of equivalent atoms:
U 0.0000 0.0000 0.0000 [3 per cell]  6 H 2.49
Mn 0.0000 0.0000 0.5000 [3 per cell]  6 H 1.88
H 0.0000 0.0000 0.2202 [6 per cell]  3 Mn 1.88

Calculated values
- VASP energy: -6.80 eV/atom


VASP calculation (PBE-GGA) on UMn2H8 after structural relaxation.

a = 4.0537 Å, b = 4.0537 Å, c = 9.5021 Å
α = 90.00°, β = 90.00°, γ = 90.00°
Last column: nearest neighbours and their distance in Å.
Space group I4/mmm (No. 139)
One atom of each set of equivalent atoms:
U 0.0000 0.0000 0.0000 [2 per cell]  8 H 2.19
Mn 0.0000 0.5000 0.2500 [4 per cell]  8 H 1.72
H 0.2142 0.2142 0.3471 [16 per cell]  2 Mn 1.72, 3 H 1.74-1.89

Calculated values
- VASP energy: -5.10 eV/atom


Sequential mass density output: 10506; 12130; 13492; 14389; 8329; 13248; 12413; 7571 kg/m3